Record 1
VASP calculation (PBE-GGA) on a geometry-optimized AsPIr3 structure.

a = 4.4383 Å, b = 4.4383 Å, c = 4.4383 Å
α = 90.00°, β = 90.00°, γ = 90.00°
Last column: nearest neighbours and their distance in Å.
Space group Pm-3m (No. 221)
One atom of each set of equivalent atoms:
As1 0.0000 0.0000 0.0000 [1 per cell]  12 Ir 3.14
P1 0.5000 0.5000 0.5000 [1 per cell]  6 Ir 2.22
Ir1 0.0000 0.5000 0.5000 [3 per cell]  2 P 2.22

Properties
excess energy over the best structure of this formula in the dataset: 0.000 eV per atom
formation energy from the elements: 0.6824 eV per atom


Record 2
VASP calculation (PBE-GGA) on a geometry-optimized Nb12V6Re structure.

a = 9.6014 Å, b = 9.6014 Å, c = 12.3016 Å
α = 90.00°, β = 90.00°, γ = 120.00°
Last column: nearest neighbours and their distance in Å.
Space group R-3 (No. 148, hexagonal axes)
One atom of each set of equivalent atoms:
Nb1 0.0505 0.1875 0.3043 [18 per cell]  4 Nb 2.66-2.90, 4 V 2.81-2.98, 1 Re 2.90
Nb2 0.0620 0.8318 0.9173 [18 per cell]  4 V 2.78-2.91, 5 Nb 2.84-3.06
V1 0.0400 0.4456 0.2053 [18 per cell]  1 Re 2.59, 2 V 2.71, 5 Nb 2.78-2.89
Re1 0.0000 0.0000 0.5000 [3 per cell]  6 V 2.59

Properties
formation energy from the elements: 0.0942 eV per atom


Record 3
VASP calculation (PBE-GGA) on a geometry-optimized Nd4GaGe structure.

a = 5.6287 Å, b = 20.9628 Å, c = 6.2826 Å
α = 90.00°, β = 90.00°, γ = 90.00°
Last column: nearest neighbours and their distance in Å.
Space group Cmcm (No. 63)
One atom of each set of equivalent atoms:
Nd1 0.0000 0.0610 0.2500 [4 per cell]  3 Ga 2.92-3.16
Nd2 0.0000 0.2098 0.0020 [8 per cell]  5 Nd 3.12-3.49, 1 Ga 3.18, 3 Ge 3.23-3.41
Nd3 0.0000 0.3888 0.2500 [4 per cell]  2 Ga 2.90
Ga1 0.0000 0.0785 0.7500 [4 per cell]  7 Nd 2.90-3.18
Ge1 0.0000 0.3439 0.7500 [4 per cell]  10 Nd 3.23-3.45

Properties
excess energy over the best structure of this formula in the dataset: 0.192 eV per atom
formation energy from the elements: -0.2820 eV per atom


Record 4
VASP calculation (PBE-GGA) on a geometry-optimized Pm4DyTmS8 structure.

a = 8.1930 Å, b = 8.1930 Å, c = 20.0263 Å
α = 90.00°, β = 90.00°, γ = 120.00°
Last column: nearest neighbours and their distance in Å.
Space group R3m (No. 160, hexagonal axes)
One atom of each set of equivalent atoms:
Pm1 0.0000 0.0000 0.0000 [3 per cell]  4 S 2.67-2.69
Pm2 0.1685 0.3369 0.2086 [9 per cell]  6 S 2.83-2.86
Dy1 0.0000 0.0000 0.3768 [3 per cell]  6 S 2.76-2.78
Tm1 0.0000 0.0000 0.7511 [3 per cell]  4 S 2.56-2.59
S1 0.0000 0.0000 0.1331 [3 per cell]  4 Pm 2.67-2.83
S2 0.0000 0.0000 0.6231 [3 per cell]  1 Tm 2.56, 3 Pm 2.85
S3 0.0140 0.5070 0.1242 [9 per cell]  1 Tm 2.59, 1 Dy 2.78, 2 Pm 2.86
S4 0.1803 0.3605 0.9586 [9 per cell]  3 Pm 2.69-2.83, 1 Dy 2.76

Properties
formation energy from raw total energies: -1.919 eV/atom


Record 5
VASP calculation (PBE-GGA) on a geometry-optimized ZnAg6Au2 structure.

a = 10.6171 Å, b = 9.8433 Å, c = 7.5725 Å
α = 90.00°, β = 126.01°, γ = 90.00°
Last column: nearest neighbours and their distance in Å.
Space group C2/c (No. 15)
One atom of each set of equivalent atoms:
Zn1 0.0000 0.1516 0.2500 [4 per cell]  4 Au 2.74-2.81, 6 Ag 2.83-3.03
Ag1 0.0500 0.3746 0.9724 [8 per cell]  7 Ag 2.76-3.03, 3 Au 2.86-2.95
Ag2 0.1015 0.1000 0.6828 [8 per cell]  2 Zn 2.83-2.86, 8 Ag 2.87-3.03, 1 Au 2.90
Ag3 0.2295 0.1417 0.1353 [8 per cell]  7 Ag 2.76-2.94, 2 Au 2.86-2.88, 1 Zn 3.03
Au1 0.1792 0.3807 0.4270 [8 per cell]  2 Zn 2.74-2.81, 1 Au 2.85, 6 Ag 2.86-2.95

Properties
excess energy over the best structure of this formula in the dataset: 0.009 eV per atom
formation energy from the elements: -0.0048 eV per atom


Record 6
VASP calculation (PBE-GGA) on a geometry-optimized Sm2In2Ga structure.

a = 11.4819 Å, b = 4.5457 Å, c = 11.2056 Å
α = 90.00°, β = 115.46°, γ = 90.00°
Last column: nearest neighbours and their distance in Å.
Space group C2/m (No. 12)
One atom of each set of equivalent atoms:
Sm1 0.0095 0.0000 0.1769 [4 per cell]  6 In 3.22-3.43, 3 Ga 3.28-3.35
Sm2 0.1822 0.0000 0.6118 [4 per cell]  6 In 3.18-3.42, 2 Ga 3.18
In1 0.0422 0.5000 0.3922 [4 per cell]  1 Ga 2.79, 1 In 2.97
In2 0.1561 0.5000 0.0561 [4 per cell]  3 Ga 2.79-2.93
Ga1 0.2029 0.5000 0.8188 [4 per cell]  4 In 2.79-2.93

Properties
formation energy from the elements: -0.5038 eV per atom


Record 7
VASP calculation (PBE-GGA) on a geometry-optimized B2C structure.

a = 2.7123 Å, b = 2.7123 Å, c = 15.2024 Å
α = 90.00°, β = 90.00°, γ = 120.00°
Last column: nearest neighbours and their distance in Å.
Space group P3m1 (No. 156)
One atom of each set of equivalent atoms:
B1 0.0000 0.0000 0.0000 [1 per cell]  4 B 1.74-1.83
B2 0.0000 0.0000 0.1145 [1 per cell]  3 C 1.57, 1 B 1.74
B3 0.0000 0.0000 0.6452 [1 per cell]  1 C 1.52
B4 0.3333 0.6667 0.3823 [1 per cell]  3 C 1.57
B5 0.3333 0.6667 0.6998 [1 per cell]  4 B 1.77-1.88
B6 0.3333 0.6667 0.8233 [1 per cell]  3 C 1.57
B7 0.6667 0.3333 0.5020 [1 per cell]  4 C 1.66-1.70
B8 0.6667 0.3333 0.9373 [1 per cell]  1 C 1.58
C1 0.0000 0.0000 0.5449 [1 per cell]  4 B 1.52-1.70
C2 0.3333 0.6667 0.1170 [1 per cell]  3 B 1.57
C3 0.6667 0.3333 0.3925 [1 per cell]  4 B 1.57-1.66
C4 0.6667 0.3333 0.8335 [1 per cell]  4 B 1.57-1.58

Properties
excess energy over the best structure of this formula in the dataset: 0.295 eV per atom
formation energy from the elements: 0.4807 eV per atom


Record 8
VASP calculation (PBE-GGA) on a geometry-optimized LaThSi2O8 structure.

a = 7.2441 Å, b = 7.2441 Å, c = 6.4352 Å
α = 90.00°, β = 90.00°, γ = 90.00°
Last column: nearest neighbours and their distance in Å.
Space group I-4m2 (No. 119)
One atom of each set of equivalent atoms:
La1 0.0000 0.0000 0.0000 [2 per cell]  8 O 2.43-2.54
Th1 0.0000 0.5000 0.7500 [2 per cell]  8 O 2.40-2.48
Si1 0.0000 0.0000 0.5000 [2 per cell]  4 O 1.65
Si2 0.0000 0.5000 0.2500 [2 per cell]  4 O 1.65
O1 0.0000 0.1787 0.6599 [8 per cell]  1 Si 1.65
O2 0.0000 0.3278 0.0830 [8 per cell]  1 Si 1.65

Properties
formation energy from raw total energies: -3.068 eV/atom


Record 9
VASP calculation (PBE-GGA) on a geometry-optimized Er3TmSb2 structure.

a = 17.9532 Å, b = 4.2446 Å, c = 9.6828 Å
α = 90.00°, β = 113.76°, γ = 90.00°
Last column: nearest neighbours and their distance in Å.
Space group C2/m (No. 12)
One atom of each set of equivalent atoms:
Er1 0.0552 0.0000 0.1743 [4 per cell]  3 Sb 3.01-3.36, 3 Er 3.15-3.25
Er2 0.1435 0.5000 0.9774 [4 per cell]  4 Sb 3.19-3.21
Er3 0.1880 0.5000 0.3927 [4 per cell]  4 Sb 3.08-3.44, 4 Er 3.17-3.25
Tm1 0.1093 0.0000 0.6110 [4 per cell]  6 Sb 3.14-3.27
Sb1 0.0078 0.5000 0.3448 [4 per cell]  4 Er 3.01-3.21, 1 Sb 3.13, 4 Tm 3.14-3.27
Sb2 0.2484 0.5000 0.7775 [4 per cell]  7 Er 3.17-3.44, 2 Tm 3.18

Properties
excess energy over the best structure of this formula in the dataset: 0.128 eV per atom
formation energy from raw total energies: -0.640 eV/atom


Record 10
VASP calculation (PBE-GGA) on a geometry-optimized Nd2Ni15Ru2 structure.

a = 8.3930 Å, b = 8.3930 Å, c = 12.3717 Å
α = 90.00°, β = 90.00°, γ = 120.00°
Last column: nearest neighbours and their distance in Å.
Space group R-3m (No. 166, hexagonal axes)
One atom of each set of equivalent atoms:
Nd1 0.0000 0.0000 0.1559 [6 per cell]  18 Ni 2.97-3.27, 1 Ru 3.07
Ni1 0.0000 0.2957 0.5000 [18 per cell]  8 Ni 2.42-2.59
Ni2 0.0000 0.5000 0.0000 [9 per cell]  8 Ni 2.42, 2 Ru 2.57
Ni3 0.0020 0.5010 0.3432 [18 per cell]  8 Ni 2.42-2.59, 1 Ru 2.61
Ru1 0.0000 0.0000 0.4038 [6 per cell]  1 Ru 2.38, 6 Ni 2.57-2.61

Properties
formation energy from the elements: -0.1290 eV per atom


Record 11
VASP calculation (PBE-GGA) on a geometry-optimized KReSb2 structure.

a = 3.7545 Å, b = 3.7545 Å, c = 8.2701 Å
α = 90.00°, β = 90.00°, γ = 90.00°
Last column: nearest neighbours and their distance in Å.
Space group P4mm (No. 99)
One atom of each set of equivalent atoms:
K1 0.0000 0.0000 0.0000 [1 per cell]  5 Sb 3.50-3.62, 4 K 3.75
Re1 0.5000 0.5000 0.3796 [1 per cell]  5 Sb 2.67-2.68
Sb1 0.0000 0.0000 0.4228 [1 per cell]  4 Re 2.68
Sb2 0.5000 0.5000 0.7021 [1 per cell]  1 Re 2.67

Properties
excess energy over the best structure of this formula in the dataset: 0.490 eV per atom
formation energy from raw total energies: 0.547 eV/atom


Record 12
VASP calculation (PBE-GGA) on a geometry-optimized In4Re structure.

a = 7.4693 Å, b = 7.4693 Å, c = 3.8082 Å
α = 90.00°, β = 90.00°, γ = 90.00°
Last column: nearest neighbours and their distance in Å.
Space group I4/m (No. 87)
One atom of each set of equivalent atoms:
In1 0.0984 0.2858 0.0000 [8 per cell]  2 Re 2.95, 8 In 3.01-3.19
Re1 0.0000 0.0000 0.5000 [2 per cell]  8 In 2.95

Properties
excess energy over the best structure of this formula in the dataset: 0.355 eV per atom
formation energy from the elements: 0.4976 eV per atom


Record 13
VASP calculation (PBE-GGA) on a geometry-optimized Nd6DyTm12 structure.

a = 13.1716 Å, b = 13.1716 Å, c = 12.5465 Å
α = 90.00°, β = 90.00°, γ = 120.00°
Last column: nearest neighbours and their distance in Å.
Space group R-3m (No. 166, hexagonal axes)
One atom of each set of equivalent atoms:
Nd1 0.0379 0.5189 0.1176 [18 per cell]  1 Nd 3.07, 1 Dy 3.43
Dy1 0.0000 0.0000 0.5000 [3 per cell]  6 Nd 3.43
Tm1 0.0000 0.2557 0.0000 [18 per cell]  6 Tm 3.33-3.51, 4 Nd 3.45-3.57
Tm2 0.0913 0.1826 0.7634 [18 per cell]  6 Tm 3.33-3.61, 2 Nd 3.68

Properties
excess energy over the best structure of this formula in the dataset: 0.096 eV per atom
formation energy from the elements: 0.2220 eV per atom


Record 14
VASP calculation (PBE-GGA) on a geometry-optimized CaAc3Sm2Se6 structure.

a = 7.4510 Å, b = 12.9170 Å, c = 7.5428 Å
α = 90.00°, β = 109.12°, γ = 90.00°
Last column: nearest neighbours and their distance in Å.
Space group C2/m (No. 12)
One atom of each set of equivalent atoms:
Ca1 0.0000 0.0000 0.0000 [2 per cell]  6 Se 2.95-2.96
Ac1 0.0000 0.1672 0.5000 [4 per cell]  6 Se 3.13-3.16
Ac2 0.0000 0.5000 0.5000 [2 per cell]  6 Se 3.14-3.17
Sm1 0.0000 0.3329 0.0000 [4 per cell]  6 Se 2.98
Se1 0.2414 0.1652 0.2291 [8 per cell]  1 Ca 2.96, 2 Sm 2.98, 3 Ac 3.13-3.16
Se2 0.2458 0.5000 0.2281 [4 per cell]  1 Ca 2.95, 2 Sm 2.98, 3 Ac 3.15-3.17

Properties
formation energy from raw total energies: -1.857 eV/atom


Record 15
VASP calculation (PBE-GGA) on a geometry-optimized BeTe2AuI structure.

a = 5.0806 Å, b = 5.0806 Å, c = 5.0317 Å
α = 90.00°, β = 90.00°, γ = 90.00°
Last column: nearest neighbours and their distance in Å.
Space group P4/mmm (No. 123)
One atom of each set of equivalent atoms:
Be1 0.0000 0.0000 0.0000 [1 per cell]  2 I 2.52, 4 Te 2.54
Te1 0.0000 0.5000 0.0000 [2 per cell]  2 Be 2.54
Au1 0.5000 0.5000 0.5000 [1 per cell]  8 Te 3.58, 4 I 3.59
I1 0.0000 0.0000 0.5000 [1 per cell]  2 Be 2.52

Properties
excess energy over the best structure of this formula in the dataset: 0.000 eV per atom
formation energy from raw total energies: 0.571 eV/atom


Record 16
VASP calculation (PBE-GGA) on a geometry-optimized NaTl5Cd5 structure.

a = 5.7650 Å, b = 5.7650 Å, c = 10.8169 Å
α = 90.00°, β = 90.00°, γ = 120.00°
Last column: nearest neighbours and their distance in Å.
Space group P-6m2 (No. 187)
One atom of each set of equivalent atoms:
Na1 0.0000 0.0000 0.0000 [1 per cell]  5 Tl 3.33-3.49
Tl1 0.0000 0.0000 0.3231 [2 per cell]  9 Cd 3.39-3.46, 1 Na 3.49, 3 Tl 3.76
Tl2 0.3333 0.6667 0.1607 [2 per cell]  7 Tl 3.48-3.76, 3 Cd 3.52, 3 Na 3.75
Tl3 0.6667 0.3333 0.0000 [1 per cell]  2 Cd 2.87
Cd1 0.0062 0.5031 0.5000 [3 per cell]  6 Cd 2.83-3.05
Cd2 0.6667 0.3333 0.2654 [2 per cell]  1 Tl 2.87, 3 Cd 3.05

Properties
formation energy from the elements: 0.0142 eV per atom


Record 17
VASP calculation (PBE-GGA) on a geometry-optimized TmMnMoC3 structure.

a = 6.6061 Å, b = 3.2457 Å, c = 7.2494 Å
α = 90.00°, β = 101.97°, γ = 90.00°
Last column: nearest neighbours and their distance in Å.
Space group P2_1/m (No. 11)
One atom of each set of equivalent atoms:
Tm1 0.1747 0.2500 0.1947 [2 per cell]  5 C 2.40-2.50
Mn1 0.1111 0.2500 0.6024 [2 per cell]  4 C 1.83-1.93
Mo1 0.3546 0.7500 0.8675 [2 per cell]  5 C 2.08-2.24
C1 0.1190 0.2500 0.8571 [2 per cell]  1 Mn 1.84
C2 0.1793 0.7500 0.5154 [2 per cell]  3 Mn 1.83-1.93
C3 0.4365 0.7500 0.1600 [2 per cell]  3 Mo 2.08-2.17

Properties
formation energy from the elements: 0.0335 eV per atom


Record 18
VASP calculation (PBE-GGA) on a geometry-optimized Pr2HfRh structure.

a = 3.4659 Å, b = 3.4659 Å, c = 31.4153 Å
α = 90.00°, β = 90.00°, γ = 120.00°
Last column: nearest neighbours and their distance in Å.
Space group R-3m (No. 166, hexagonal axes)
One atom of each set of equivalent atoms:
Pr1 0.0000 0.0000 0.1010 [6 per cell]  3 Rh 2.87, 1 Hf 3.17
Hf1 0.0000 0.0000 0.0000 [3 per cell]  2 Pr 3.17, 6 Hf 3.47
Rh1 0.0000 0.0000 0.5000 [3 per cell]  6 Pr 2.87

Properties
formation energy from the elements: 0.2665 eV per atom


Record 19
VASP calculation (PBE-GGA) on a geometry-optimized Ca3ZnIr2 structure.

a = 8.2898 Å, b = 8.2898 Å, c = 14.9519 Å
α = 90.00°, β = 90.00°, γ = 120.00°
Last column: nearest neighbours and their distance in Å.
Space group R-3c (No. 167, hexagonal axes)
One atom of each set of equivalent atoms:
Ca1 0.0000 0.3219 0.2500 [18 per cell]  4 Ir 2.96-3.06, 2 Zn 3.08
Zn1 0.0000 0.0000 0.0000 [6 per cell]  2 Ir 2.46
Ir1 0.0000 0.0000 0.1645 [12 per cell]  1 Zn 2.46, 1 Ir 2.56

Properties
formation energy from the elements: -0.3226 eV per atom


Record 20
VASP calculation (PBE-GGA) on a geometry-optimized LiEr3Ga8 structure.

a = 5.4441 Å, b = 5.4441 Å, c = 26.8016 Å
α = 90.00°, β = 90.00°, γ = 120.00°
Last column: nearest neighbours and their distance in Å.
Space group R3m (No. 160, hexagonal axes)
One atom of each set of equivalent atoms:
Li1 0.0000 0.0000 0.0000 [3 per cell]  12 Ga 3.17-3.22, 4 Er 3.27-3.30
Er1 0.0000 0.0000 0.1219 [3 per cell]  12 Ga 3.13-3.32, 1 Li 3.27, 3 Er 3.38
Er2 0.0000 0.0000 0.5013 [3 per cell]  12 Ga 3.19-3.20, 4 Er 3.38-3.44
Er3 0.0000 0.0000 0.6295 [3 per cell]  12 Ga 3.14-3.24, 3 Li 3.30, 1 Er 3.44
Ga1 0.0000 0.0000 0.3144 [3 per cell]  6 Ga 2.72-2.73
Ga2 0.0000 0.0000 0.8140 [3 per cell]  6 Ga 2.73-2.74
Ga3 0.9996 0.4998 0.5642 [9 per cell]  6 Ga 2.72-2.74
Ga4 0.0011 0.5006 0.0642 [9 per cell]  6 Ga 2.71-2.73

Properties
formation energy from the elements: -0.4455 eV per atom


Record 21
VASP calculation (PBE-GGA) on a geometry-optimized PuVZn4 structure.

a = 7.3958 Å, b = 7.3958 Å, c = 7.3958 Å
α = 90.00°, β = 90.00°, γ = 90.00°
Last column: nearest neighbours and their distance in Å.
Space group F-43m (No. 216)
One atom of each set of equivalent atoms:
Pu1 0.0000 0.0000 0.0000 [4 per cell]  12 Zn 3.07, 4 V 3.20
V1 0.2500 0.2500 0.2500 [4 per cell]  12 Zn 3.06, 4 Pu 3.20
Zn1 0.1240 0.1240 0.6240 [16 per cell]  6 Zn 2.59-2.64

Properties
formation energy from the elements: 0.0015 eV per atom